Record 1
First-principles (PBE-GGA) data for a relaxed structure of Pu2MnRh6, as listed in Alexandria via LeMat-Bulk. Values from VASP.

Computed properties:
As for the formation enthalpy at 0 K: -0.0696 eV per atom. The calculation puts the calculated total energy at -9.1742 eV per atom. For the size of the total moment, the calculation gives 12.3 μB per formula unit. For the density of states at the Fermi level, the calculation gives 1.843 states/eV per atom. The mass density is 12.557 g cm⁻³.

Geometry as Quantum ESPRESSO input:
```
&SYSTEM
  ibrav = 0, nat = 9, ntyp = 3
/
ATOMIC_SPECIES
Pu 244.00 Pu.upf
Mn 54.94 Mn.upf
Rh 102.91 Rh.upf
CELL_PARAMETERS angstrom
6.679 -4.071 0.000
6.679 4.071 0.000
-0.619 0.000 2.822
ATOMIC_POSITIONS angstrom
Pu 1.894 0.000 0.428
Pu 10.846 0.000 2.394
Mn 6.370 0.000 1.411
Rh 4.167 1.447 0.921
Rh 6.679 2.119 0.000
Rh 8.573 1.447 1.900
Rh 4.167 -1.447 0.921
Rh 6.679 -2.119 0.000
Rh 8.573 -1.447 1.900
```

Record 2
First-principles (PBE-GGA) data for a relaxed structure of Ce8C4O3F, as listed in Alexandria via LeMat-Bulk. Values from VASP.

Computed properties:
The calculation puts the calculated total energy at -7.8686 eV per atom. For the size of the total moment, the calculation gives 0.0 μB per formula unit. Its uncorrected formation energy is -1.549 eV per atom. For the density of states at the Fermi level, the calculation gives 1.411 states/eV per atom. The mass density is 7.701 g cm⁻³.

Geometry as Quantum ESPRESSO input:
```
&SYSTEM
  ibrav = 0, nat = 16, ntyp = 4
/
ATOMIC_SPECIES
Ce 140.12 Ce.upf
C 12.01 C.upf
O 16.00 O.upf
F 19.00 F.upf
CELL_PARAMETERS angstrom
3.635 2.099 5.822
-3.635 2.099 5.822
0.000 -4.198 5.822
ATOMIC_POSITIONS angstrom
Ce -1.851 -1.069 10.209
Ce 0.000 -2.137 7.257
Ce -1.851 1.069 7.257
Ce 0.000 0.000 4.356
Ce 0.000 0.000 13.110
Ce 1.851 -1.069 10.209
Ce 0.000 2.137 10.209
Ce 1.851 1.069 7.257
C 0.000 0.000 0.000
C -1.818 -1.049 5.822
C -1.818 1.049 11.644
C 0.000 2.099 5.822
O -3.635 0.000 8.733
O -1.818 1.049 2.911
O 1.818 1.049 2.911
F 0.000 0.000 8.733
```

Record 3
First-principles (PBE-GGA) data for a relaxed structure of NbPbSe2, as listed in Alexandria via LeMat-Bulk. Values from VASP.

Computed properties:
The calculation puts the calculated total energy at -5.8152 eV per atom. For the size of the total moment, the calculation gives 0.0 μB per formula unit. Its uncorrected formation energy is -0.628 eV per atom. For the density of states at the Fermi level, the calculation gives 0.552 states/eV per atom. The mass density is 7.582 g cm⁻³.

Geometry as Quantum ESPRESSO input:
```
&SYSTEM
  ibrav = 0, nat = 4, ntyp = 3
/
ATOMIC_SPECIES
Nb 92.91 Nb.upf
Pb 207.20 Pb.upf
Se 78.96 Se.upf
CELL_PARAMETERS angstrom
1.739 1.004 9.580
-1.739 1.004 9.580
0.000 -2.007 9.580
ATOMIC_POSITIONS angstrom
Nb 0.000 0.000 0.000
Pb 0.000 0.000 14.371
Se 0.000 0.000 11.274
Se 0.000 0.000 17.468
```

Record 4
First-principles (PBE-GGA) data for a relaxed structure of B3NF, as listed in Alexandria via LeMat-Bulk. Values from VASP.

Computed properties:
Its polymorph energy (0 for the lowest one) is 1.0118 eV/atom. The calculation puts the calculated total energy at -3.0814 eV per atom. For the size of the total moment, the calculation gives 0.0 μB per formula unit. Its uncorrected formation energy is 2.964 eV per atom. For the density of states at the Fermi level, the calculation gives 0.551 states/eV per atom. The mass density is 1.982 g cm⁻³.

Geometry as Quantum ESPRESSO input:
```
&SYSTEM
  ibrav = 0, nat = 5, ntyp = 3
/
ATOMIC_SPECIES
B 10.81 B.upf
N 14.01 N.upf
F 19.00 F.upf
CELL_PARAMETERS angstrom
3.799 0.000 0.000
0.000 3.799 0.000
0.000 0.000 3.799
ATOMIC_POSITIONS angstrom
B 0.000 0.000 1.899
B 0.000 1.899 0.000
B 1.899 0.000 0.000
N 1.899 1.899 1.899
F 0.000 0.000 0.000
```

Record 5
First-principles (PBE-GGA) data for a relaxed structure of InBiIr3, as listed in Alexandria via LeMat-Bulk. Values from VASP.

Computed properties:
Its polymorph energy (0 for the lowest one) is 0.0000 eV/atom. As for the formation enthalpy at 0 K: 1.6529 eV per atom. The calculation puts the calculated total energy at -4.9876 eV per atom. For the size of the total moment, the calculation gives 1.0 μB per formula unit. For the density of states at the Fermi level, the calculation gives 1.270 states/eV per atom. The mass density is 12.736 g cm⁻³.

Geometry as Quantum ESPRESSO input:
```
&SYSTEM
  ibrav = 0, nat = 5, ntyp = 3
/
ATOMIC_SPECIES
In 114.82 In.upf
Bi 208.98 Bi.upf
Ir 192.22 Ir.upf
CELL_PARAMETERS angstrom
4.897 0.000 0.000
0.000 4.897 0.000
0.000 0.000 4.897
ATOMIC_POSITIONS angstrom
In 0.000 0.000 0.000
Bi 2.448 2.448 2.448
Ir 0.000 0.000 2.448
Ir 0.000 2.448 0.000
Ir 2.448 0.000 0.000
```

Record 6
First-principles (PBE-GGA) data for a relaxed structure of La2Dy4Tm, as listed in Alexandria via LeMat-Bulk. Values from VASP.

Computed properties:
Its polymorph energy (0 for the lowest one) is 0.3175 eV/atom. As for the formation enthalpy at 0 K: 0.6329 eV per atom. The calculation puts the calculated total energy at -4.0435 eV per atom. For the size of the total moment, the calculation gives 0.5 μB per formula unit. For the density of states at the Fermi level, the calculation gives 1.371 states/eV per atom. The mass density is 6.813 g cm⁻³.

Geometry as Quantum ESPRESSO input:
```
&SYSTEM
  ibrav = 0, nat = 7, ntyp = 3
/
ATOMIC_SPECIES
La 138.91 La.upf
Dy 162.50 Dy.upf
Tm 168.93 Tm.upf
CELL_PARAMETERS angstrom
-2.769 2.769 8.712
2.769 -2.769 8.712
2.769 2.769 -8.712
ATOMIC_POSITIONS angstrom
La 0.000 0.000 2.194
La 0.000 0.000 15.231
Dy 2.769 0.000 0.000
Dy 0.000 0.000 5.667
Dy 0.000 2.769 0.000
Dy 0.000 0.000 11.758
Tm 0.000 0.000 8.712
```

Record 7
First-principles (PBE-GGA) data for a relaxed structure of KMnPb4, as listed in Alexandria via LeMat-Bulk. Values from VASP.

Computed properties:
As for the formation enthalpy at 0 K: 0.3231 eV per atom. The calculation puts the calculated total energy at -3.8603 eV per atom. For the size of the total moment, the calculation gives 5.0 μB per formula unit. For the density of states at the Fermi level, the calculation gives 0.814 states/eV per atom. The mass density is 7.695 g cm⁻³.

Geometry as Quantum ESPRESSO input:
```
&SYSTEM
  ibrav = 0, nat = 6, ntyp = 3
/
ATOMIC_SPECIES
K 39.10 K.upf
Mn 54.94 Mn.upf
Pb 207.20 Pb.upf
CELL_PARAMETERS angstrom
0.000 4.635 4.635
4.635 0.000 4.635
4.635 4.635 0.000
ATOMIC_POSITIONS angstrom
K 0.000 0.000 0.000
Mn 6.953 6.953 6.953
Pb 3.483 3.483 3.483
Pb 5.787 5.787 3.483
Pb 5.787 3.483 5.787
Pb 3.483 5.787 5.787
```

Record 8
First-principles (PBE-GGA) data for a relaxed structure of La2YGaC, as listed in Alexandria via LeMat-Bulk. Values from VASP.

Computed properties:
As for the formation enthalpy at 0 K: -0.3052 eV per atom. The calculation puts the calculated total energy at -6.0191 eV per atom. For the size of the total moment, the calculation gives 0.0 μB per formula unit. For the density of states at the Fermi level, the calculation gives 0.673 states/eV per atom. The mass density is 5.660 g cm⁻³.

Geometry as Quantum ESPRESSO input:
```
&SYSTEM
  ibrav = 0, nat = 5, ntyp = 4
/
ATOMIC_SPECIES
La 138.91 La.upf
Y 88.91 Y.upf
Ga 69.72 Ga.upf
C 12.01 C.upf
CELL_PARAMETERS angstrom
5.176 0.000 0.000
0.000 5.176 0.000
0.000 0.000 4.911
ATOMIC_POSITIONS angstrom
La 0.000 2.588 0.000
La 2.588 0.000 0.000
Y 0.000 0.000 2.456
Ga 2.588 2.588 2.456
C 0.000 0.000 0.000
```

Record 9
First-principles (PBE-GGA) data for a relaxed structure of FeCu2SiTe, as listed in Alexandria via LeMat-Bulk. Values from VASP.

Computed properties:
Its polymorph energy (0 for the lowest one) is 0.7655 eV/atom. The calculation puts the calculated total energy at -3.6807 eV per atom. For the size of the total moment, the calculation gives 3.1 μB per formula unit. Its uncorrected formation energy is 1.363 eV per atom. For the density of states at the Fermi level, the calculation gives 2.699 states/eV per atom. The mass density is 4.498 g cm⁻³.

Geometry as Quantum ESPRESSO input:
```
&SYSTEM
  ibrav = 0, nat = 5, ntyp = 4
/
ATOMIC_SPECIES
Fe 55.84 Fe.upf
Cu 63.55 Cu.upf
Si 28.09 Si.upf
Te 127.60 Te.upf
CELL_PARAMETERS angstrom
4.675 0.000 0.000
0.000 4.675 0.000
0.000 0.000 5.721
ATOMIC_POSITIONS angstrom
Fe 0.000 0.000 0.000
Cu 0.000 2.337 2.861
Cu 2.337 0.000 2.861
Si 2.337 2.337 0.000
Te 2.337 2.337 2.861
```

Record 10
First-principles (PBE-GGA) data for a relaxed structure of CdHPt4, as listed in Alexandria via LeMat-Bulk. Values from VASP.

Computed properties:
The calculation puts the calculated total energy at -4.7401 eV per atom. For the size of the total moment, the calculation gives 0.0 μB per formula unit. For the density of states at the Fermi level, the calculation gives 0.921 states/eV per atom. The mass density is 16.985 g cm⁻³.

Geometry as Quantum ESPRESSO input:
```
&SYSTEM
  ibrav = 0, nat = 12, ntyp = 3
/
ATOMIC_SPECIES
Cd 112.41 Cd.upf
H 1.01 H.upf
Pt 195.08 Pt.upf
CELL_PARAMETERS angstrom
6.173 -2.584 0.000
6.173 2.584 0.000
-0.759 0.000 5.478
ATOMIC_POSITIONS angstrom
Cd 5.603 2.183 4.108
Cd 5.983 -2.183 1.369
H 2.707 1.292 2.739
H 3.086 -1.292 0.000
Pt 2.390 0.222 0.308
Pt 2.011 -0.222 3.046
Pt 4.690 0.305 1.921
Pt 4.310 -0.305 4.660
Pt 7.276 0.305 0.817
Pt 6.896 -0.305 3.556
Pt 9.575 0.222 2.431
Pt 9.196 -0.222 5.170
```